[1]
# LaH8Ir2

An optimized crystal structure of LaH8Ir2 (PBE-GGA, the Alexandria database).

Lattice parameters (Å, degrees): 4.4720 4.4720 6.0543 111.67 111.67 90.00
Fractional coordinates of all 11 atoms:
H 0.6123 0.6123 0.6746
La 0.5000 0.5000 0.0000
H 0.6123 0.0623 0.6746
H 0.0623 0.6123 0.6746
H 0.3877 0.9377 0.3254
H 0.3877 0.3877 0.3254
H 0.9377 0.9377 0.3254
H 0.0623 0.0623 0.6746
Ir 0.2500 0.7500 0.5000
Ir 0.7500 0.2500 0.5000
H 0.9377 0.3877 0.3254

Energy: -4.59 eV/atom
SG: I4/mmm (139)
DOS at the Fermi energy: 4.5 states/eV/cell

***

[2]
# La2HIr2

An optimized crystal structure of La2HIr2 (PBE-GGA, the Alexandria database).

Lattice parameters (Å, degrees): 5.6699 5.6699 5.1784 56.81 56.81 90.00
Fractional coordinates of all 5 atoms:
Ir 0.7129 0.7129 0.5742
Ir 0.2871 0.2871 0.4258
La 0.7500 0.2500 0.5000
H 0.0000 0.0000 0.0000
La 0.2500 0.7500 0.5000

SG: I4/mmm (139)
Energy relative to the lowest polymorph listed for this composition: 0.0000 eV/atom
DOS at the Fermi energy: 2.1 states/eV/cell

***

[3]
# La2H4Ir

An optimized crystal structure of La2H4Ir (PBE-GGA, the Alexandria database).

Lattice parameters (Å, degrees): 3.7951 3.7951 7.2215 74.77 74.77 90.00
Fractional coordinates of all 7 atoms:
H 0.1341 0.1341 0.7319
La 0.6397 0.6397 0.7206
Ir 0.0000 0.0000 0.0000
La 0.3603 0.3603 0.2794
H 0.0000 0.5000 0.0000
H 0.5000 0.0000 0.0000
H 0.8659 0.8659 0.2681

Energy: -5.02 eV/atom
SG: I4/mmm (139)
DOS at the Fermi energy: 5.5 states/eV/cell